Density functional theory data (PBE) for a relaxed structure of BeTlRh.

Cell lengths 3.0865, 3.0865, 6.0976 Å; angles 90.00, 90.00, 120.00 degrees
Last column: nearest neighbours and their distance in Å.
Sites, in units of the cell vectors:
1 Be 0.0000 0.0000 0.0534  3 Rh 2.25
2 Tl 0.3333 0.6667 0.6679  3 Be 2.95, 3 Rh 2.97, 6 Tl 3.09
3 Rh 0.6667 0.3333 0.2787  3 Be 2.25

Summary:
Energy relative to the elements in eV/f.u.: 0.71
V in Å³/cell: 50.31
Energy above the lowest structure with this stoichiometry in meV per atom: 277
Size of the total moment in μB per formula unit: 0.000
Symmetry: P3m1
Density in g cm⁻³: 10.44